1.
# Sm5TlS4, optimized geometry, DFT GGA-PBE
# calculated total energy: -5.89 eV/atom
# space group: C2/m
data_Sm5TlS4
_cell_length_a 7.133
_cell_length_b 7.133
_cell_length_c 10.223
_cell_angle_alpha 118.63
_cell_angle_beta 118.63
_cell_angle_gamma 32.91
_symmetry_space_group_name_H-M 'P 1'
_symmetry_Int_Tables_number 1
loop_
_symmetry_equiv_pos_as_xyz
'x,y,z'
loop_
_atom_site_label
_atom_site_type_symbol
_atom_site_fract_x
_atom_site_fract_y
_atom_site_fract_z
_atom_site_occupancy
Sm1 Sm 0.000 0.000 0.000 1
Sm2 Sm 0.204 0.204 0.815 1
Sm3 Sm 0.386 0.386 0.610 1
Sm4 Sm 0.614 0.614 0.390 1
Sm5 Sm 0.796 0.796 0.185 1
Tl1 Tl 0.000 0.000 0.500 1
S1 S 0.203 0.203 0.289 1
S2 S 0.404 0.404 0.101 1
S3 S 0.596 0.596 0.899 1
S4 S 0.797 0.797 0.711 1

2.
# Na2Pm2Cl7, optimized geometry, DFT GGA-PBE
# calculated total energy: -4.22 eV/atom
# space group: C2/m
data_Na2Pm2Cl7
_cell_length_a 7.436
_cell_length_b 7.436
_cell_length_c 7.426
_cell_angle_alpha 94.66
_cell_angle_beta 94.66
_cell_angle_gamma 110.84
_symmetry_space_group_name_H-M 'P 1'
_symmetry_Int_Tables_number 1
loop_
_symmetry_equiv_pos_as_xyz
'x,y,z'
loop_
_atom_site_label
_atom_site_type_symbol
_atom_site_fract_x
_atom_site_fract_y
_atom_site_fract_z
_atom_site_occupancy
Na1 Na 0.197 0.803 0.000 1
Na2 Na 0.803 0.197 0.000 1
Pm1 Pm 0.205 0.205 0.608 1
Pm2 Pm 0.795 0.795 0.392 1
Cl1 Cl 0.061 0.441 0.779 1
Cl2 Cl 0.087 0.087 0.241 1
Cl3 Cl 0.441 0.061 0.779 1
Cl4 Cl 0.500 0.500 0.500 1
Cl5 Cl 0.559 0.939 0.221 1
Cl6 Cl 0.913 0.913 0.759 1
Cl7 Cl 0.939 0.559 0.221 1

3.
# KMn2BeAs, optimized geometry, DFT GGA-PBE
# calculated total energy: -2.79 eV/atom
# space group: P4/mmm
data_KMn2BeAs
_cell_length_a 4.269
_cell_length_b 4.269
_cell_length_c 4.573
_cell_angle_alpha 90.00
_cell_angle_beta 90.00
_cell_angle_gamma 90.00
_symmetry_space_group_name_H-M 'P 1'
_symmetry_Int_Tables_number 1
loop_
_symmetry_equiv_pos_as_xyz
'x,y,z'
loop_
_atom_site_label
_atom_site_type_symbol
_atom_site_fract_x
_atom_site_fract_y
_atom_site_fract_z
_atom_site_occupancy
K1 K 0.000 0.000 0.000 1
Mn1 Mn 0.000 0.500 0.000 1
Mn2 Mn 0.500 0.000 0.000 1
Be1 Be 0.000 0.000 0.500 1
As1 As 0.500 0.500 0.500 1

4.
# LaCd4Hg6, optimized geometry, DFT GGA-PBE
# calculated total energy: -0.99 eV/atom
# space group: I-42m
data_LaCd4Hg6
_cell_length_a 7.543
_cell_length_b 7.543
_cell_length_c 7.543
_cell_angle_alpha 119.32
_cell_angle_beta 119.32
_cell_angle_gamma 91.19
_symmetry_space_group_name_H-M 'P 1'
_symmetry_Int_Tables_number 1
loop_
_symmetry_equiv_pos_as_xyz
'x,y,z'
loop_
_atom_site_label
_atom_site_type_symbol
_atom_site_fract_x
_atom_site_fract_y
_atom_site_fract_z
_atom_site_occupancy
La1 La 0.000 0.000 0.000 1
Cd1 Cd 0.254 0.617 0.000 1
Cd2 Cd 0.383 0.383 0.637 1
Cd3 Cd 0.617 0.254 0.000 1
Cd4 Cd 0.746 0.746 0.363 1
Hg1 Hg 0.000 0.500 0.500 1
Hg2 Hg 0.119 0.119 0.687 1
Hg3 Hg 0.432 0.432 0.313 1
Hg4 Hg 0.500 0.000 0.500 1
Hg5 Hg 0.568 0.881 0.000 1
Hg6 Hg 0.881 0.568 0.000 1

5.
# CaMnCoH2, optimized geometry, DFT GGA-PBE
# calculated total energy: -4.47 eV/atom
# space group: P4/mmm
data_CaMnCoH2
_cell_length_a 3.875
_cell_length_b 3.875
_cell_length_c 4.460
_cell_angle_alpha 90.00
_cell_angle_beta 90.00
_cell_angle_gamma 90.00
_symmetry_space_group_name_H-M 'P 1'
_symmetry_Int_Tables_number 1
loop_
_symmetry_equiv_pos_as_xyz
'x,y,z'
loop_
_atom_site_label
_atom_site_type_symbol
_atom_site_fract_x
_atom_site_fract_y
_atom_site_fract_z
_atom_site_occupancy
Ca1 Ca 0.000 0.000 0.000 1
Mn1 Mn 0.500 0.500 0.000 1
Co1 Co 0.500 0.500 0.500 1
H1 H 0.000 0.500 0.500 1
H2 H 0.500 0.000 0.500 1

6.
# Na3SrTi, optimized geometry, DFT GGA-PBE
# calculated total energy: -1.30 eV/atom
# space group: Pm-3m
data_Na3SrTi
_cell_length_a 6.148
_cell_length_b 6.148
_cell_length_c 6.148
_cell_angle_alpha 90.00
_cell_angle_beta 90.00
_cell_angle_gamma 90.00
_symmetry_space_group_name_H-M 'P 1'
_symmetry_Int_Tables_number 1
loop_
_symmetry_equiv_pos_as_xyz
'x,y,z'
loop_
_atom_site_label
_atom_site_type_symbol
_atom_site_fract_x
_atom_site_fract_y
_atom_site_fract_z
_atom_site_occupancy
Na1 Na 0.000 0.000 0.500 1
Na2 Na 0.000 0.500 0.000 1
Na3 Na 0.500 0.000 0.000 1
Sr1 Sr 0.000 0.000 0.000 1
Ti1 Ti 0.500 0.500 0.500 1

Q: calculated total energy of number 4 (LaCd4Hg6)?
A: -0.99 eV/atom